VASP calculation (PBE) on a geometry-optimized ThGaSi2 structure.

Cell: 4.381 4.381 4.202 Å, 90.00 90.00 90.00°
Space group P4/mmm (No. 123)
Asymmetric unit:
Th 0.000 0.000 0.000 x1
Ga 0.500 0.500 0.000 x1
Si 0.000 0.500 0.500 x2

Output
- total magnetic moment (μB/f.u.) = 0.0
- raw formation energy (meV per atom) = -345
- electronic total energy (eV/f.u.) = -22.7